GGA-PBE CaTcN3, optimized geometry; calculated total energy = -38.54 eV/cell; E_form (uncorrected) = -240 meV per atom; magnetization = 0.0 μB/cell; Fermi-level density of states = 0.000 states/eV/cell; SG = Cm (8)
1.0
-0.542 -2.874 0.981
2.080 -1.346 -2.793
4.411 -1.425 3.113
N Ca Tc
3 1 1
Direct
0.855 0.632 0.251
0.566 0.334 0.829
0.607 0.996 0.747
0.299 0.119 0.363
0.022 0.643 0.916

***

GGA-PBE CaTc2N4, optimized geometry; calculated total energy = -115.26 eV/cell; E_form (uncorrected) = -228 meV per atom; magnetization = 0.0 μB/cell; Fermi-level density of states = 2.221 states/eV/cell; SG = Cmcm (63)
1.0
3.211 0.000 0.000
-1.605 4.943 0.000
0.000 0.000 9.849
Ca Tc N
2 4 8
Direct
0.624 0.248 0.750
0.376 0.752 0.250
0.116 0.232 0.062
0.116 0.232 0.438
0.884 0.768 0.562
0.884 0.768 0.938
0.243 0.487 0.601
0.927 0.854 0.750
0.073 0.146 0.250
0.757 0.513 0.399
0.500 0.000 0.000
0.500 0.000 0.500
0.757 0.513 0.101
0.243 0.487 0.899

***

GGA-PBE CaTcN3, optimized geometry; calculated total energy = -77.56 eV/cell; E_form (uncorrected) = -287 meV per atom; magnetization = 0.0 μB/cell; Fermi-level density of states = 1.962 states/eV/cell; SG = P1 (1)
1.0
-0.263 -5.368 -0.249
5.122 -2.565 2.499
0.735 1.851 4.707
Tc N Ca
2 6 2
Direct
0.853 0.607 0.550
0.485 0.458 0.823
0.315 0.223 0.930
0.779 0.595 0.895
0.391 0.986 0.126
0.046 0.813 0.485
0.570 0.315 0.540
0.660 0.406 0.345
0.073 0.804 0.026
0.244 0.112 0.481

***

GGA-PBE CaTcN3, optimized geometry; calculated total energy = -156.65 eV/cell; E_form (uncorrected) = -364 meV per atom; magnetization = 0.0 μB/cell; Fermi-level density of states = 0.000 states/eV/cell; SG = C2/c (15)
1.0
10.533 0.000 -0.391
4.458 4.958 -3.208
-4.458 4.958 3.208
N Tc Ca
12 4 4
Direct
0.555 0.791 0.204
0.945 0.704 0.291
0.830 0.781 0.708
0.662 0.566 0.654
0.445 0.209 0.796
0.162 0.846 0.934
0.838 0.154 0.066
0.670 0.208 0.281
0.170 0.219 0.292
0.055 0.296 0.709
0.338 0.434 0.346
0.330 0.792 0.719
0.230 0.392 0.431
0.730 0.069 0.108
0.770 0.608 0.569
0.270 0.931 0.892
0.250 0.836 0.336
0.750 0.164 0.664
0.250 0.446 0.946
0.750 0.554 0.054

***

GGA-PBE Ca2Tc2N3, optimized geometry; calculated total energy = -53.86 eV/cell; E_form (uncorrected) = -593 meV per atom; magnetization = 0.0 μB/cell; Fermi-level density of states = 2.960 states/eV/cell; SG = C2/m (12)
1.0
-2.919 -1.499 0.347
2.212 -3.344 4.158
-0.872 5.672 1.487
N Tc Ca
3 2 2
Direct
0.000 0.000 0.000
0.242 0.733 0.484
0.758 0.267 0.516
0.835 0.665 0.670
0.165 0.335 0.330
0.395 0.174 0.789
0.605 0.826 0.211

***

GGA-PBE CaTcN3, optimized geometry; calculated total energy = -38.88 eV/cell; E_form (uncorrected) = -308 meV per atom; magnetization = 0.0 μB/cell; SG = Cm (8)
1.0
5.444 0.004 0.003
0.079 3.610 0.001
0.079 1.201 3.405
N Tc Ca
3 1 1
Direct
0.369 0.886 0.088
0.369 0.547 0.427
0.854 0.405 0.946
0.532 0.419 0.961
0.053 0.028 0.569

***

GGA-PBE CaTcN3, optimized geometry; calculated total energy = -77.50 eV/cell; E_form (uncorrected) = -281 meV per atom; magnetization = 0.0 μB/cell; Fermi-level density of states = 0.021 states/eV/cell; SG = Cmc2_1 (36)
1.0
3.155 0.000 0.000
0.000 4.861 0.000
1.578 0.000 8.655
N Ca Tc
6 2 2
Direct
0.502 0.987 0.037
0.695 0.856 0.651
0.355 0.309 0.330
0.108 0.356 0.824
0.301 0.487 0.438
0.448 0.809 0.144
0.832 0.932 0.377
0.971 0.432 0.098
0.199 0.594 0.642
0.604 0.094 0.832

***

GGA-PBE CaTcN3, optimized geometry; calculated total energy = -77.61 eV/cell; E_form (uncorrected) = -292 meV per atom; magnetization = 0.0 μB/cell; Fermi-level density of states = 3.062 states/eV/cell; SG = P1 (1)
1.0
3.636 -0.007 -0.006
-0.689 5.497 0.000
0.597 -2.352 6.720
Ca Tc N
2 2 6
Direct
0.051 0.160 0.992
0.086 0.638 0.477
0.640 0.187 0.626
0.445 0.648 0.877
0.117 0.664 0.136
0.517 0.298 0.249
0.613 0.241 0.388
0.910 0.735 0.033
0.569 0.896 0.735
0.151 0.337 0.723

***

GGA-PBE CaTcN3, optimized geometry; calculated total energy = -35.62 eV/cell; E_form (uncorrected) = 345 meV per atom; magnetization = 0.0 μB/cell; Fermi-level density of states = 0.608 states/eV/cell; SG = R3m (160)
1.0
3.821 0.000 2.894
-1.911 3.309 2.894
-1.911 -3.309 2.894
N Ca Tc
3 1 1
Direct
0.671 0.671 0.092
0.671 0.092 0.671
0.092 0.671 0.671
0.549 0.549 0.549
0.893 0.893 0.893

***

GGA-PBE CaTcN3, optimized geometry; calculated total energy = -38.73 eV/cell; E_form (uncorrected) = -277 meV per atom; magnetization = 0.0 μB/cell; Fermi-level density of states = 0.000 states/eV/cell; SG = Cm (8)
1.0
-1.599 -2.203 1.607
0.824 -0.753 -2.957
6.547 -1.155 2.906
N Ca Tc
3 1 1
Direct
0.051 0.808 0.638
0.157 0.871 0.808
0.826 0.591 0.196
0.281 0.349 0.410
0.410 0.863 0.053

***

GGA-PBE Ca2TcN4, optimized geometry; calculated total energy = -101.68 eV/cell; E_form (uncorrected) = -453 meV per atom; magnetization = 0.0 μB/cell; Fermi-level density of states = 6.688 states/eV/cell; SG = C2/m (12)
1.0
-2.580 4.937 -0.985
-3.597 -5.287 -0.830
0.813 1.769 6.732
N Tc Ca
8 2 4
Direct
0.648 0.295 0.617
0.879 0.272 0.059
0.607 0.728 0.941
0.393 0.272 0.059
0.086 0.172 0.384
0.914 0.828 0.616
0.352 0.705 0.383
0.121 0.728 0.941
0.822 0.643 0.768
0.178 0.357 0.232
0.160 0.319 0.764
0.840 0.681 0.236
0.519 0.039 0.243
0.481 0.961 0.757

***

GGA-PBE CaTcN3, optimized geometry; calculated total energy = -71.46 eV/cell; E_form (uncorrected) = 323 meV per atom; magnetization = 0.0 μB/cell; Fermi-level density of states = 4.699 states/eV/cell; SG = P6_3/mmc (194)
1.0
3.401 -1.964 0.000
0.000 3.928 0.000
0.000 0.000 8.041
N Tc Ca
6 2 2
Direct
0.667 0.333 0.963
0.333 0.667 0.037
0.000 0.000 0.750
0.333 0.667 0.463
0.667 0.333 0.537
0.000 0.000 0.250
0.000 0.000 0.500
0.000 0.000 0.000
0.333 0.667 0.750
0.667 0.333 0.250

***

GGA-PBE CaTcN3, optimized geometry; calculated total energy = -38.38 eV/cell; E_form (uncorrected) = -207 meV per atom; magnetization = 0.0 μB/cell; Fermi-level density of states = 0.000 states/eV/cell; SG = P1 (1)
1.0
3.014 0.000 0.001
0.004 5.962 0.002
-1.509 -1.589 3.542
N Ca Tc
3 1 1
Direct
0.494 0.712 0.859
0.132 0.286 0.138
0.659 0.726 0.191
0.392 0.054 0.658
0.777 0.505 0.429

***

GGA-PBE CaTcN3, optimized geometry; calculated total energy = -77.70 eV/cell; E_form (uncorrected) = -301 meV per atom; magnetization = 0.0 μB/cell; Fermi-level density of states = 0.000 states/eV/cell; SG = C2 (5)
1.0
-3.794 0.115 -4.370
2.399 -2.598 -2.151
-3.295 -3.071 4.015
N Ca Tc
6 2 2
Direct
0.632 0.236 0.038
0.569 0.425 0.616
0.431 0.095 0.958
0.075 0.663 0.037
0.368 0.485 0.536
0.925 0.912 0.537
0.500 0.833 0.287
0.000 0.324 0.287
0.159 0.822 0.809
0.841 0.300 0.765

***

GGA-PBE CaTcN3, optimized geometry; calculated total energy = -76.43 eV/cell; E_form (uncorrected) = -174 meV per atom; magnetization = 0.0 μB/cell; Fermi-level density of states = 0.000 states/eV/cell; SG = R-3 (148)
1.0
4.511 0.603 3.935
5.031 -3.295 0.170
5.560 1.937 -1.238
Tc N Ca
2 6 2
Direct
0.640 0.640 0.640
0.360 0.360 0.360
0.517 0.929 0.329
0.929 0.329 0.517
0.671 0.483 0.071
0.329 0.517 0.929
0.071 0.671 0.483
0.483 0.071 0.671
0.135 0.135 0.135
0.865 0.865 0.865

***

GGA-PBE CaTc2N, optimized geometry; calculated total energy = -59.54 eV/cell; E_form (uncorrected) = 323 meV per atom; magnetization = 2.6 μB/cell; Fermi-level density of states = 8.082 states/eV/cell; SG = I-42d (122)
1.0
-5.841 -0.791 -1.636
1.722 -4.171 -4.130
-2.461 -5.520 0.019
N Ca Tc
2 2 4
Direct
0.250 0.750 0.500
0.500 0.500 0.000
0.750 0.250 0.500
0.000 0.000 0.000
0.435 0.125 0.250
0.315 0.625 0.250
0.875 0.685 0.750
0.375 0.565 0.750

***

GGA-PBE CaTcN3, optimized geometry; calculated total energy = -77.78 eV/cell; E_form (uncorrected) = -310 meV per atom; magnetization = 0.0 μB/cell; Fermi-level density of states = 2.939 states/eV/cell; SG = Cm (8)
1.0
-0.690 2.529 1.784
-3.222 0.513 -4.793
-6.640 -3.271 2.070
Ca N Tc
2 6 2
Direct
0.593 0.972 0.452
0.372 0.529 0.986
0.818 0.421 0.243
0.084 0.955 0.213
0.745 0.276 0.880
0.063 0.912 0.069
0.001 0.787 0.695
0.840 0.467 0.388
0.138 0.063 0.812
0.844 0.474 0.633

***

GGA-PBE CaTcN3, optimized geometry; calculated total energy = -77.91 eV/cell; E_form (uncorrected) = -322 meV per atom; magnetization = 0.0 μB/cell; Fermi-level density of states = 2.181 states/eV/cell; SG = P1 (1)
1.0
-1.883 0.979 -2.727
-3.465 0.269 2.671
-0.847 9.657 -0.210
Tc N Ca
2 6 2
Direct
0.870 0.043 0.803
0.472 0.540 0.656
0.671 0.529 0.450
0.340 0.272 0.842
0.823 0.379 0.342
0.526 0.014 0.126
0.641 0.877 0.013
0.978 0.763 0.665
0.077 0.462 0.076
0.247 0.977 0.398

***

GGA-PBE CaTcN3, optimized geometry; calculated total energy = -77.59 eV/cell; E_form (uncorrected) = -290 meV per atom; magnetization = 0.0 μB/cell; Fermi-level density of states = 3.543 states/eV/cell; SG = P1 (1)
1.0
3.575 -0.003 0.002
0.404 5.350 -0.006
0.217 0.731 6.317
Tc N Ca
2 6 2
Direct
0.067 0.534 0.587
0.902 0.125 0.902
0.903 0.849 0.160
0.077 0.807 0.328
0.581 0.384 0.698
0.043 0.327 0.331
0.948 0.324 0.146
0.989 0.835 0.741
0.532 0.036 0.490
0.458 0.634 0.988

***

GGA-PBE CaTcN3, optimized geometry; calculated total energy = -24.25 eV/cell; E_form (uncorrected) = 2618 meV per atom; magnetization = 0.0 μB/cell; Fermi-level density of states = 7.739 states/eV/cell; SG = Pm-3m (221)
1.0
-1.481 0.425 3.721
-3.399 -1.831 -1.144
1.571 -3.561 1.032
N Tc Ca
3 1 1
Direct
0.500 0.000 0.000
0.000 0.500 0.000
0.000 0.000 0.500
0.500 0.500 0.500
0.000 0.000 0.000